[1]
Entry from the Alexandria database: crystalline ZnCu3Au4 at its relaxed geometry (PBE).

Cell lengths 4.1742, 4.1747, 7.6506 Å; angles 105.63, 105.83, 90.00 degrees
With the nearest neighbours (Å) after each atom.
Fractional positions:
1 Au 0.1263 0.1267 0.2527  6 Cu 2.71-2.75, 2 Zn 2.75, 4 Au 2.95
2 Au 0.6263 0.6266 0.2527  6 Cu 2.72-2.75, 2 Zn 2.74-2.75, 4 Au 2.95
3 Au 0.3737 0.3734 0.7473  6 Cu 2.72-2.75, 2 Zn 2.74-2.75, 4 Au 2.95
4 Au 0.8737 0.8733 0.7473  6 Cu 2.71-2.75, 2 Zn 2.75, 4 Au 2.95
5 Cu 0.7504 0.2503 0.5009  8 Au 2.71-2.73, 4 Cu 2.95
6 Cu 0.0000 0.5000 0.0000  8 Au 2.74-2.75, 4 Zn 2.95
7 Cu 0.2496 0.7497 0.4991  8 Au 2.71-2.73, 4 Cu 2.95
8 Zn 0.5000 0.0000 0.0000  8 Au 2.74-2.75, 4 Cu 2.95

The uncorrected energy comes out at -27.43 eV/cell. Its formation energy is -0.095 eV/atom. The symmetry is No. 12.

---

[2]
Entry from the Alexandria database: crystalline ZnCu2Au6 at its relaxed geometry (PBE).

Cell lengths 4.2302, 8.3521, 8.3511 Å; angles 90.00, 89.99, 90.00 degrees
With the nearest neighbours (Å) after each atom.
Fractional positions:
1 Au 0.5000 0.5159 0.3240  1 Zn 2.71, 3 Cu 2.75-2.80, 8 Au 2.89-2.97
2 Au 0.0000 0.3240 0.4841  1 Zn 2.71, 3 Cu 2.75-2.80, 8 Au 2.89-2.97
3 Au 0.0000 0.6760 0.5159  1 Zn 2.71, 3 Cu 2.75-2.80, 8 Au 2.89-2.97
4 Au 0.5000 0.4841 0.6760  1 Zn 2.71, 3 Cu 2.75-2.80, 8 Au 2.89-2.97
5 Au 0.0000 0.9841 0.8240  1 Zn 2.71, 3 Cu 2.75-2.80, 8 Au 2.89-2.97
6 Au 0.0001 0.6394 0.8606  2 Zn 2.68, 4 Cu 2.75-2.95, 6 Au 2.89-2.92
7 Au 0.4999 0.1394 0.6394  2 Zn 2.68, 4 Cu 2.75-2.95, 6 Au 2.89-2.92
8 Au 0.5001 0.8606 0.3606  2 Zn 2.68, 4 Cu 2.75-2.95, 6 Au 2.89-2.92
9 Au 0.5000 0.8240 0.0159  1 Zn 2.71, 3 Cu 2.75-2.80, 8 Au 2.89-2.97
10 Au 0.5000 0.1760 0.9841  1 Zn 2.71, 3 Cu 2.75-2.80, 8 Au 2.89-2.97
11 Au 0.9999 0.3606 0.1394  2 Zn 2.68, 4 Cu 2.75-2.95, 6 Au 2.89-2.92
12 Au 0.0000 0.0159 0.1760  1 Zn 2.71, 3 Cu 2.75-2.80, 8 Au 2.89-2.97
13 Cu 0.0000 0.3134 0.8134  10 Au 2.75-2.95, 2 Zn 3.05
14 Cu 0.5000 0.1866 0.3134  10 Au 2.75-2.95, 2 Zn 3.05
15 Cu 0.0000 0.6866 0.1866  10 Au 2.75-2.95, 2 Zn 3.05
16 Cu 0.5000 0.8134 0.6866  10 Au 2.75-2.95, 2 Zn 3.05
17 Zn 0.0000 0.0000 0.5000  8 Au 2.68-2.71
18 Zn 0.5000 0.5000 0.0000  8 Au 2.68-2.71

The uncorrected energy comes out at -59.71 eV/cell. Its formation energy is -0.080 eV/atom. The symmetry is No. 136.

---

[3]
Entry from the Alexandria database: crystalline ZnCu3Au2 at its relaxed geometry (PBE).

Cell lengths 2.7458, 8.3943, 15.3436 Å; angles 90.00, 90.00, 90.00 degrees
With the nearest neighbours (Å) after each atom.
Fractional positions:
1 Cu 0.2500 0.7554 0.6687  5 Cu 2.58-2.75, 1 Zn 2.59, 5 Au 2.70-2.83
2 Cu 0.7500 0.0337 0.9097  4 Cu 2.61-2.75, 4 Au 2.64-2.72, 2 Zn 2.68
3 Cu 0.2500 0.2554 0.8313  5 Cu 2.58-2.75, 1 Zn 2.59, 5 Au 2.70-2.83
4 Cu 0.7500 0.4872 0.0770  5 Cu 2.58-2.75, 5 Au 2.62-2.75, 1 Zn 2.71
5 Cu 0.2500 0.5128 0.9230  5 Cu 2.58-2.75, 5 Au 2.62-2.75, 1 Zn 2.71
6 Cu 0.2500 0.4663 0.4097  4 Cu 2.61-2.75, 4 Au 2.64-2.72, 2 Zn 2.68
7 Cu 0.7500 0.9872 0.4230  5 Cu 2.58-2.75, 5 Au 2.62-2.75, 1 Zn 2.71
8 Cu 0.7500 0.2446 0.3313  5 Cu 2.58-2.75, 1 Zn 2.59, 5 Au 2.70-2.83
9 Cu 0.2500 0.0128 0.5770  5 Cu 2.58-2.75, 5 Au 2.62-2.75, 1 Zn 2.71
10 Cu 0.7500 0.5337 0.5903  4 Cu 2.61-2.75, 4 Au 2.64-2.72, 2 Zn 2.68
11 Cu 0.2500 0.9663 0.0903  4 Cu 2.61-2.75, 4 Au 2.64-2.72, 2 Zn 2.68
12 Cu 0.7500 0.7446 0.1687  5 Cu 2.58-2.75, 1 Zn 2.59, 5 Au 2.70-2.83
13 Zn 0.7500 0.2059 0.1639  4 Cu 2.59-2.71, 2 Zn 2.75, 6 Au 2.79-2.86
14 Zn 0.7500 0.7059 0.3361  4 Cu 2.59-2.71, 2 Zn 2.75, 6 Au 2.79-2.86
15 Zn 0.2500 0.7941 0.8361  4 Cu 2.59-2.71, 2 Zn 2.75, 6 Au 2.79-2.86
16 Zn 0.2500 0.2941 0.6639  4 Cu 2.59-2.71, 2 Zn 2.75, 6 Au 2.79-2.86
17 Au 0.2500 0.4774 0.2325  7 Cu 2.72-2.83, 2 Au 2.75, 4 Zn 2.84-2.86
18 Au 0.7500 0.0226 0.7325  7 Cu 2.72-2.83, 2 Au 2.75, 4 Zn 2.84-2.86
19 Au 0.7500 0.2584 0.5070  7 Cu 2.62-2.70, 2 Au 2.75, 2 Zn 2.79
20 Au 0.2500 0.7416 0.4930  7 Cu 2.62-2.70, 2 Au 2.75, 2 Zn 2.79
21 Au 0.7500 0.5226 0.7675  7 Cu 2.72-2.83, 2 Au 2.75, 4 Zn 2.84-2.86
22 Au 0.7500 0.7584 0.9930  7 Cu 2.62-2.70, 2 Au 2.75, 2 Zn 2.79
23 Au 0.2500 0.9774 0.2675  7 Cu 2.72-2.83, 2 Au 2.75, 4 Zn 2.84-2.86
24 Au 0.2500 0.2416 0.0070  7 Cu 2.62-2.70, 2 Au 2.75, 2 Zn 2.79

The uncorrected energy comes out at -81.19 eV/cell. Its formation energy is -0.030 eV/atom. The symmetry is No. 62.

---

[4]
Entry from the Alexandria database: crystalline Zn3Cu2Au3 at its relaxed geometry (PBE).

Cell lengths 4.1554, 5.1361, 13.1091 Å; angles 90.00, 90.00, 113.86 degrees
With the nearest neighbours (Å) after each atom.
Fractional positions:
1 Zn 0.3959 0.7918 0.5629  2 Cu 2.49, 1 Zn 2.56, 3 Au 2.65-2.77
2 Zn 0.6041 0.2082 0.4371  2 Cu 2.49, 1 Zn 2.56, 3 Au 2.65-2.77
3 Zn 0.4323 0.8647 0.2500  2 Cu 2.58, 1 Au 2.62
4 Zn 0.6041 0.2082 0.0629  2 Cu 2.49, 1 Zn 2.56, 3 Au 2.65-2.77
5 Zn 0.3959 0.7918 0.9371  2 Cu 2.49, 1 Zn 2.56, 3 Au 2.65-2.77
6 Zn 0.5677 0.1353 0.7500  2 Cu 2.58, 1 Au 2.62
7 Au 0.2888 0.5776 0.7500  3 Zn 2.62-2.65, 4 Cu 2.72, 2 Au 2.85
8 Au 0.0888 0.1775 0.5863  4 Cu 2.71-3.02, 7 Zn 2.77-2.99, 2 Au 2.81-2.85
9 Au 0.0888 0.1775 0.9137  4 Cu 2.71-3.02, 7 Zn 2.77-2.99, 2 Au 2.81-2.85
10 Au 0.9112 0.8225 0.4137  4 Cu 2.71-3.02, 7 Zn 2.77-2.99, 2 Au 2.81-2.85
11 Au 0.7112 0.4224 0.2500  3 Zn 2.62-2.65, 4 Cu 2.72, 2 Au 2.85
12 Au 0.9112 0.8225 0.0863  4 Cu 2.71-3.02, 7 Zn 2.77-2.99, 2 Au 2.81-2.85
13 Cu 0.2303 0.4606 0.3835  3 Zn 2.49-2.58, 4 Au 2.71-2.72
14 Cu 0.2303 0.4606 0.1165  3 Zn 2.49-2.58, 4 Au 2.71-2.72
15 Cu 0.7697 0.5394 0.8835  3 Zn 2.49-2.58, 4 Au 2.71-2.72
16 Cu 0.7697 0.5394 0.6165  3 Zn 2.49-2.58, 4 Au 2.71-2.72

The uncorrected energy comes out at -44.96 eV/cell. Its formation energy is -0.079 eV/atom. The symmetry is No. 63.

---

Please write out number 3 again, unchanged.
Entry from the Alexandria database: crystalline ZnCu3Au2 at its relaxed geometry (PBE).

Cell lengths 2.7458, 8.3943, 15.3436 Å; angles 90.00, 90.00, 90.00 degrees
With the nearest neighbours (Å) after each atom.
Fractional positions:
1 Cu 0.2500 0.7554 0.6687  5 Cu 2.58-2.75, 1 Zn 2.59, 5 Au 2.70-2.83
2 Cu 0.7500 0.0337 0.9097  4 Cu 2.61-2.75, 4 Au 2.64-2.72, 2 Zn 2.68
3 Cu 0.2500 0.2554 0.8313  5 Cu 2.58-2.75, 1 Zn 2.59, 5 Au 2.70-2.83
4 Cu 0.7500 0.4872 0.0770  5 Cu 2.58-2.75, 5 Au 2.62-2.75, 1 Zn 2.71
5 Cu 0.2500 0.5128 0.9230  5 Cu 2.58-2.75, 5 Au 2.62-2.75, 1 Zn 2.71
6 Cu 0.2500 0.4663 0.4097  4 Cu 2.61-2.75, 4 Au 2.64-2.72, 2 Zn 2.68
7 Cu 0.7500 0.9872 0.4230  5 Cu 2.58-2.75, 5 Au 2.62-2.75, 1 Zn 2.71
8 Cu 0.7500 0.2446 0.3313  5 Cu 2.58-2.75, 1 Zn 2.59, 5 Au 2.70-2.83
9 Cu 0.2500 0.0128 0.5770  5 Cu 2.58-2.75, 5 Au 2.62-2.75, 1 Zn 2.71
10 Cu 0.7500 0.5337 0.5903  4 Cu 2.61-2.75, 4 Au 2.64-2.72, 2 Zn 2.68
11 Cu 0.2500 0.9663 0.0903  4 Cu 2.61-2.75, 4 Au 2.64-2.72, 2 Zn 2.68
12 Cu 0.7500 0.7446 0.1687  5 Cu 2.58-2.75, 1 Zn 2.59, 5 Au 2.70-2.83
13 Zn 0.7500 0.2059 0.1639  4 Cu 2.59-2.71, 2 Zn 2.75, 6 Au 2.79-2.86
14 Zn 0.7500 0.7059 0.3361  4 Cu 2.59-2.71, 2 Zn 2.75, 6 Au 2.79-2.86
15 Zn 0.2500 0.7941 0.8361  4 Cu 2.59-2.71, 2 Zn 2.75, 6 Au 2.79-2.86
16 Zn 0.2500 0.2941 0.6639  4 Cu 2.59-2.71, 2 Zn 2.75, 6 Au 2.79-2.86
17 Au 0.2500 0.4774 0.2325  7 Cu 2.72-2.83, 2 Au 2.75, 4 Zn 2.84-2.86
18 Au 0.7500 0.0226 0.7325  7 Cu 2.72-2.83, 2 Au 2.75, 4 Zn 2.84-2.86
19 Au 0.7500 0.2584 0.5070  7 Cu 2.62-2.70, 2 Au 2.75, 2 Zn 2.79
20 Au 0.2500 0.7416 0.4930  7 Cu 2.62-2.70, 2 Au 2.75, 2 Zn 2.79
21 Au 0.7500 0.5226 0.7675  7 Cu 2.72-2.83, 2 Au 2.75, 4 Zn 2.84-2.86
22 Au 0.7500 0.7584 0.9930  7 Cu 2.62-2.70, 2 Au 2.75, 2 Zn 2.79
23 Au 0.2500 0.9774 0.2675  7 Cu 2.72-2.83, 2 Au 2.75, 4 Zn 2.84-2.86
24 Au 0.2500 0.2416 0.0070  7 Cu 2.62-2.70, 2 Au 2.75, 2 Zn 2.79

The uncorrected energy comes out at -81.19 eV/cell. Its formation energy is -0.030 eV/atom. The symmetry is No. 62.